# 1
Material: Rb2MgSbF6
Method: DFT, GGA-PBE
State: relaxed

Geometry as CIF:
```
data_Rb2MgSbF6
_symmetry_space_group_name_H-M 'I 4/m m m'
_symmetry_Int_Tables_number 139
_symmetry_space_group_name_Hall '-I 4 2'
_cell_length_a 6.429
_cell_length_b 6.429
_cell_length_c 8.558
_cell_angle_alpha 90.00
_cell_angle_beta 90.00
_cell_angle_gamma 90.00
loop_
_atom_site_label
_atom_site_fract_x
_atom_site_fract_y
_atom_site_fract_z
_atom_site_occupancy
Rb1 0.000 0.500 0.250 1
Mg1 0.000 0.000 0.000 1
Sb1 0.000 0.000 0.500 1
F1 0.000 0.000 0.241 1
F2 0.222 0.222 0.000 1
```

Summary:
The calculation puts the formation energy from raw total energies at -250 kJ/mol of atoms. The calculation puts the density of states at the Fermi level at 0.436 states/eV/atom.

# 2
Material: RbFeSnRu2
Method: DFT, GGA-PBE
State: relaxed

Geometry as CIF:
```
data_RbFeSnRu2
_symmetry_space_group_name_H-M 'P 4/m m m'
_symmetry_Int_Tables_number 123
_symmetry_space_group_name_Hall '-P 4 2'
_cell_length_a 4.579
_cell_length_b 4.579
_cell_length_c 5.070
_cell_angle_alpha 90.00
_cell_angle_beta 90.00
_cell_angle_gamma 90.00
loop_
_atom_site_label
_atom_site_fract_x
_atom_site_fract_y
_atom_site_fract_z
_atom_site_occupancy
Rb1 0.000 0.000 0.000 1
Fe1 0.000 0.000 0.500 1
Sn1 0.500 0.500 0.000 1
Ru1 0.000 0.500 0.500 1
```

Summary:
The calculation puts the density of states at the Fermi level at 1.299 states/eV/atom. The formation energy comes out at 137.81 kJ per mole of atoms. As for the relative energy among the computed polymorphs: 299 meV/atom.

# 3
Material: ScTl2
Method: DFT, GGA-PBE
State: relaxed

Geometry as CIF:
```
data_ScTl2
_symmetry_space_group_name_H-M 'I 4/m m m'
_symmetry_Int_Tables_number 139
_symmetry_space_group_name_Hall '-I 4 2'
_cell_length_a 3.557
_cell_length_b 3.557
_cell_length_c 12.163
_cell_angle_alpha 90.00
_cell_angle_beta 90.00
_cell_angle_gamma 90.00
loop_
_atom_site_label
_atom_site_fract_x
_atom_site_fract_y
_atom_site_fract_z
_atom_site_occupancy
Sc1 0.000 0.000 0.000 1
Tl1 0.000 0.000 0.341 1
```

Summary:
The calculation puts the density of states at the Fermi level at 0.966 states/eV/atom. The formation energy comes out at -2.62 kJ per mole of atoms.

# 4
Material: CeThTeN2
Method: DFT, GGA-PBE
State: relaxed

Geometry as CIF:
```
data_CeThTeN2
_symmetry_space_group_name_H-M 'I 4 m m'
_symmetry_Int_Tables_number 107
_symmetry_space_group_name_Hall 'I 4 -2'
_cell_length_a 4.061
_cell_length_b 4.061
_cell_length_c 12.985
_cell_angle_alpha 90.00
_cell_angle_beta 90.00
_cell_angle_gamma 90.00
loop_
_atom_site_label
_atom_site_fract_x
_atom_site_fract_y
_atom_site_fract_z
_atom_site_occupancy
Ce1 0.000 0.000 0.000 1
Th1 0.000 0.000 0.327 1
Te1 0.000 0.000 0.664 1
N1 0.000 0.500 0.417 1
```

Summary:
The calculation puts the formation energy from raw total energies at -164 kJ/mol of atoms.

# 5
Material: AlGaO3
Method: DFT, GGA-PBE
State: relaxed

Geometry as CIF:
```
data_AlGaO3
_symmetry_space_group_name_H-M 'P m -3 m'
_symmetry_Int_Tables_number 221
_symmetry_space_group_name_Hall '-P 4 2 3'
_cell_length_a 3.629
_cell_length_b 3.629
_cell_length_c 3.629
_cell_angle_alpha 90.00
_cell_angle_beta 90.00
_cell_angle_gamma 90.00
loop_
_atom_site_label
_atom_site_fract_x
_atom_site_fract_y
_atom_site_fract_z
_atom_site_occupancy
Al1 0.000 0.000 0.000 1
Ga1 0.500 0.500 0.500 1
O1 0.000 0.000 0.500 1
```

Summary:
The calculation puts the formation energy from raw total energies at -149 kJ/mol of atoms. The calculation puts the density of states at the Fermi level at 0.325 states/eV/atom.

# 6
Material: KNa2MgZn
Method: DFT, GGA-PBE
State: relaxed

Geometry as CIF:
```
data_KNa2MgZn
_symmetry_space_group_name_H-M 'P 4/m m m'
_symmetry_Int_Tables_number 123
_symmetry_space_group_name_Hall '-P 4 2'
_cell_length_a 5.866
_cell_length_b 5.866
_cell_length_c 5.268
_cell_angle_alpha 90.00
_cell_angle_beta 90.00
_cell_angle_gamma 90.00
loop_
_atom_site_label
_atom_site_fract_x
_atom_site_fract_y
_atom_site_fract_z
_atom_site_occupancy
K1 0.000 0.000 0.000 1
Na1 0.000 0.500 0.500 1
Mg1 0.500 0.500 0.000 1
Zn1 0.500 0.500 0.500 1
```

Summary:
The calculation puts the density of states at the Fermi level at 0.517 states/eV/atom. The formation energy comes out at 10.73 kJ per mole of atoms.

# 7
Material: CaSiW3
Method: DFT, GGA-PBE
State: relaxed

Geometry as CIF:
```
data_CaSiW3
_symmetry_space_group_name_H-M 'P m -3 m'
_symmetry_Int_Tables_number 221
_symmetry_space_group_name_Hall '-P 4 2 3'
_cell_length_a 4.637
_cell_length_b 4.637
_cell_length_c 4.637
_cell_angle_alpha 90.00
_cell_angle_beta 90.00
_cell_angle_gamma 90.00
loop_
_atom_site_label
_atom_site_fract_x
_atom_site_fract_y
_atom_site_fract_z
_atom_site_occupancy
Ca1 0.000 0.000 0.000 1
Si1 0.500 0.500 0.500 1
W1 0.000 0.500 0.500 1
```

Summary:
The calculation puts the formation energy from raw total energies at 114 kJ/mol of atoms. The calculation puts the density of states at the Fermi level at 1.295 states/eV/atom. As for the relative energy among the computed polymorphs: 0 meV/atom.